(1)
9
Lattice="7.3388 0.0000 0.0000 -3.6694 6.3555 0.0000 0.0000 0.0000 3.9414" Properties=species:S:1:pos:R:3 comment="Ho3Ni2Sn3Ir, optimized geometry, DFT PBE" crystal_system=hexagonal dft_energy_ev_per_fu=-52.22 pbc="T T T"
Ir 0.0000 0.0000 0.0000
Ho 2.1882 3.7902 0.0000
Ho -1.4811 2.5654 0.0000
Ho 2.9623 0.0000 0.0000
Ni 3.6694 2.1185 1.9707
Ni 0.0000 4.2370 1.9707
Sn 5.3844 0.0000 1.9707
Sn 0.9772 1.6925 1.9707
Sn -2.6922 4.6630 1.9707

***

(2)
9
Lattice="-0.5715 -3.5877 1.2154 7.4435 -1.0213 0.4853 -3.8332 2.6185 5.9274" Properties=species:S:1:pos:R:3 comment="Tb2HoNiSn3Ir2, optimized geometry, DFT PBE" crystal_system=orthorhombic dft_energy_ev_per_fu=-56.27 pbc="T T T"
Ni 0.0000 0.0000 0.0000
Sn 1.4236 0.0640 6.8958
Sn 0.6367 -1.3858 2.2461
Sn 4.3029 -0.8654 5.5062
Tb 3.0187 -0.4142 0.1968
Tb -1.5545 1.0619 2.4038
Ho 2.1463 0.9495 3.8122
Ir 3.3980 -1.6015 2.9078
Ir -0.3589 -0.3889 4.7208

***

(3)
9
Lattice="9.1850 0.0000 0.0000 0.0000 3.5910 0.0000 0.0000 0.0000 3.5910" Properties=species:S:1:pos:R:3 comment="Ho2Ir2O5, optimized geometry, DFT PBE" crystal_system=tetragonal relative_energy_kj_per_mol_atoms=24.08 dft_energy_ev_per_fu=-64.47 pbc="T T T"
Ho 2.4382 1.7955 1.7955
Ho 6.7468 1.7955 1.7955
O 1.1745 1.7955 0.0000
O 8.0105 0.0000 1.7955
O 4.5925 1.7955 1.7955
O 8.0105 1.7955 0.0000
O 1.1745 0.0000 1.7955
Ir 4.5925 0.0000 0.0000
Ir 0.0000 0.0000 0.0000

***

(4)
12
Lattice="3.3850 -5.3930 0.0000 3.3850 5.3930 0.0000 -3.2094 0.0000 3.9197" Properties=species:S:1:pos:R:3 comment="HoIrO4, optimized geometry, DFT PBE" crystal_system=monoclinic dft_energy_ev_per_fu=-43.98 pbc="T T T"
Ir 2.5826 0.9296 0.9799
Ir 0.9779 -0.9296 2.9397
O -0.6622 0.3776 3.0125
O 4.2227 -0.3776 0.9072
O 3.9088 2.2609 0.5902
O 0.9425 -0.3776 1.0527
O 2.3041 -2.2609 2.5500
O 1.2564 2.2609 1.3696
O -0.3483 -2.2609 3.3294
O 2.6180 0.3776 2.8670
Ho 0.9779 3.8934 2.9397
Ho 2.5826 -3.8934 0.9799

***

(5)
9
Lattice="6.9925 0.0000 0.0000 0.0000 3.9037 0.0000 0.0000 0.0000 3.9037" Properties=species:S:1:pos:R:3 comment="Ho2Ir2O5, optimized geometry, DFT PBE" crystal_system=tetragonal relative_energy_kj_per_mol_atoms=0.00 dft_energy_ev_per_fu=-66.71 pbc="T T T"
O 3.4963 1.9518 1.9518
O 5.2371 1.9518 0.0000
O 5.2371 0.0000 1.9518
O 1.7555 0.0000 1.9518
O 1.7555 1.9518 0.0000
Ir 1.3357 1.9518 1.9518
Ir 5.6568 1.9518 1.9518
Ho 3.4963 0.0000 0.0000
Ho 0.0000 0.0000 0.0000

***

(6)
14
Lattice="4.4997 -4.5012 0.0000 -4.4997 0.0000 -4.5012 4.4997 4.5012 0.0000" Properties=species:S:1:pos:R:3 comment="HoIr2O4, optimized geometry, DFT PBE" crystal_system=cubic dft_energy_ev_per_fu=-49.71 pbc="T T T"
O 0.9730 -0.9727 -3.5285
O 5.4727 0.9727 -0.9727
O 1.2768 3.2234 -3.2234
O 1.2769 1.2779 -1.2779
O 3.5267 -0.9727 -0.9727
O 3.2228 3.2234 -1.2779
O 3.2228 1.2779 -3.2234
O -0.9730 0.9727 -3.5285
Ir -1.1249 -1.1253 -3.3759
Ir 3.3748 1.1253 -1.1253
Ir 5.6246 -1.1253 -1.1253
Ir 1.1249 1.1253 -3.3759
Ho 2.2498 -2.2506 -2.2506
Ho 0.0000 0.0000 0.0000

***

(7)
8
Lattice="3.9740 0.0000 0.0000 0.0000 3.9740 0.0000 0.0000 0.0000 8.1786" Properties=species:S:1:pos:R:3 comment="PrHoP2Ir2O2, optimized geometry, DFT PBE" crystal_system=tetragonal dft_energy_ev_per_fu=-63.28 pbc="T T T"
Ir 0.0000 1.9870 4.0477
Ir 1.9870 0.0000 4.0477
O 1.9870 0.0000 0.0963
O 0.0000 1.9870 0.0963
P 0.0000 0.0000 5.3621
P 1.9870 1.9870 2.7482
Ho 0.0000 0.0000 1.1259
Pr 1.9870 1.9870 7.0116

***

(8)
8
Lattice="3.9506 0.0000 0.0000 0.0000 3.9506 0.0000 0.0000 0.0000 7.9827" Properties=species:S:1:pos:R:3 comment="YHoP2Ir2O2, optimized geometry, DFT PBE" crystal_system=tetragonal dft_energy_ev_per_fu=-65.19 pbc="T T T"
Ir 0.0000 1.9753 3.9892
Ir 1.9753 0.0000 3.9892
P 0.0000 0.0000 5.3060
P 1.9753 1.9753 2.6743
O 0.0000 1.9753 0.0129
O 1.9753 0.0000 0.0129
Y 1.9753 1.9753 6.8936
Ho 0.0000 0.0000 1.0698

***

(9)
10
Lattice="2.2626 -5.3338 0.6225 2.5751 1.5434 4.9943 -5.7338 0.7305 -0.7393" Properties=species:S:1:pos:R:3 comment="HoIrPb2O6, optimized geometry, DFT PBE" crystal_system=tetragonal dft_energy_ev_per_fu=-66.26 pbc="T T T"
O 0.8486 -2.8230 3.5348
O -3.0197 -2.6462 0.8151
O 2.1237 -0.4138 4.0624
O -1.7446 -0.2370 1.3427
O 3.5631 -2.7918 4.1370
O 1.2746 -0.9987 1.4799
Pb -0.5261 -3.2492 1.3458
Pb -0.3699 0.1893 3.5317
Ho 0.0000 0.0000 0.0000
Ir 2.4189 -1.8952 2.8084

***

(10)
10
Lattice="4.0127 0.0000 0.0000 0.0000 2.0535 11.5835 0.0000 -2.0535 11.5835" Properties=species:S:1:pos:R:3 comment="HoIr3Os, optimized geometry, DFT PBE" crystal_system=orthorhombic formation_enthalpy_0k_ev_per_fu=-0.1 dft_energy_ev_per_fu=-42.50 pbc="T T T"
Ho 0.0000 0.0000 3.9385
Ho 0.0000 0.0000 19.3084
Ir 0.0000 0.0000 12.9135
Ir 0.0000 0.0000 10.3329
Ir 2.0064 0.0000 21.9081
Ir 2.0064 0.0000 6.5330
Ir 2.0064 0.0000 1.3376
Ir 2.0064 0.0000 16.7130
Os 2.0064 0.0000 8.9104
Os 2.0064 0.0000 14.3357

***

(11)
12
Lattice="-2.9356 -7.7639 -3.1279 4.9802 -1.6517 -0.5744 2.3779 -2.5067 3.9903" Properties=species:S:1:pos:R:3 comment="HoIrOs, optimized geometry, DFT PBE" crystal_system=orthorhombic formation_enthalpy_0k_ev_per_fu=-1.7 dft_energy_ev_per_fu=-26.41 pbc="T T T"
Ir 3.4987 -6.1172 -0.6769
Ir 5.1339 -9.9597 1.0613
Ir 2.2197 -6.5375 1.5666
Ir 6.5962 -6.0924 2.6193
Ho 1.5128 -3.8583 0.1397
Ho 0.4485 -6.6730 -0.9943
Ho 2.5020 -9.1077 -0.2796
Ho 4.3602 -4.1934 1.7003
Os 3.6882 -1.5159 0.3012
Os 1.2807 -0.7238 0.5946
Os 4.6395 -7.3335 1.2713
Os 2.4160 -1.9339 2.5327

***

(12)
3
Lattice="-4.2953 -1.5172 1.4713 -2.9804 3.0265 2.2075 -3.9618 1.5070 -2.2246" Properties=species:S:1:pos:R:3 comment="HoPaIr, optimized geometry, DFT PBE" crystal_system=cubic formation_enthalpy_0k_ev_per_fu=-1.1 dft_energy_ev_per_fu=-24.03 pbc="T T T"
Ir 0.0000 0.0000 0.0000
Pa -2.8094 0.7541 0.3636
Ho -8.4281 2.2622 1.0907